This record from OQMD describes an optimized crystal structure of PrInCoO3. The functional is GGA+U.

a = 7.0270 Å, b = 7.0270 Å, c = 8.0429 Å
α = 90.00°, β = 90.00°, γ = 153.10°
Closest atoms and distances in Å follow each position.
Sites, in units of the cell vectors:
Pr 0.0000 0.0000 0.0000  4 O 2.34-2.42
Pr 0.0000 0.0000 0.5000  4 O 2.34-2.42
In 0.2973 0.7027 0.7500  4 O 2.17-2.24
In 0.7027 0.2973 0.2500  4 O 2.17-2.24
Co 0.3574 0.6427 0.2500  4 O 2.09
Co 0.6427 0.3574 0.7500  4 O 2.09
O 0.0981 0.9019 0.2500  2 In 2.17, 2 Pr 2.42
O 0.1622 0.8378 0.5918  2 Co 2.09, 1 In 2.24, 1 Pr 2.34
O 0.1622 0.8378 0.9082  2 Co 2.09, 1 In 2.24, 1 Pr 2.34
O 0.8378 0.1622 0.0918  2 Co 2.09, 1 In 2.24, 1 Pr 2.34
O 0.8378 0.1622 0.4082  2 Co 2.09, 1 In 2.24, 1 Pr 2.34
O 0.9019 0.0981 0.7500  2 In 2.17, 2 Pr 2.42

## Properties
- E_tot: -5.812 eV/atom